The following is a DFT calculation (PBE) of a relaxed structure of Ho3Er4Sc2.

Properties
The formation enthalpy at 0 K comes out at 0.094 eV/atom. Its polymorph energy (0 for the lowest one) is 0 meV per atom. The calculation puts the total moment at 0.00 μB/cell. The space group is No. 15. The density of states at the Fermi level comes out at 24.754 states/eV per cell. As for the total DFT energy (no corrections): -4.867 eV/atom.

Unit cell a=6.611 b=11.411 c=11.411 alpha=50.50 beta=57.60 gamma=57.60
Atoms (fractional coordinates):
Er: 0.030 0.812 0.565
Sc: 0.060 0.452 0.879
Er: 0.980 0.198 0.836
Ho: 0.934 0.107 0.199
Er: 0.480 0.836 0.198
Ho: 0.066 0.893 0.801
Er: 0.970 0.188 0.435
Ho: 0.250 0.510 0.490
Er: 0.530 0.565 0.812
Er: 0.020 0.802 0.164
Sc: 0.560 0.879 0.452
Ho: 0.750 0.490 0.510
Er: 0.470 0.435 0.188
Er: 0.520 0.164 0.802
Sc: 0.940 0.548 0.121
Ho: 0.566 0.801 0.893
Ho: 0.434 0.199 0.107
Sc: 0.440 0.121 0.548

***

The following is a DFT calculation (PBE) of a relaxed structure of HoEr12Sc6.

Properties
The formation enthalpy at 0 K comes out at 0.240 eV/atom. Its polymorph energy (0 for the lowest one) is 0 meV per atom. The calculation puts the total moment at 0.00 μB/cell. The space group is No. 204. The density of states at the Fermi level comes out at 27.821 states/eV per cell. As for the total DFT energy (no corrections): -4.882 eV/atom.

Unit cell a=8.979 b=8.979 c=8.979 alpha=109.47 beta=109.47 gamma=109.47
Atoms (fractional coordinates):
Er: 0.266 0.071 0.805
Sc: 0.362 0.500 0.862
Er: 0.195 0.266 0.461
Sc: 0.500 0.862 0.362
Er: 0.929 0.195 0.734
Er: 0.734 0.929 0.195
Sc: 0.862 0.362 0.500
Ho: 0.000 0.000 0.000
Er: 0.734 0.539 0.805
Er: 0.805 0.266 0.071
Er: 0.805 0.734 0.539
Sc: 0.500 0.138 0.638
Er: 0.266 0.461 0.195
Er: 0.071 0.805 0.266
Er: 0.195 0.734 0.929
Er: 0.539 0.805 0.734
Sc: 0.138 0.638 0.500
Er: 0.461 0.195 0.266
Sc: 0.638 0.500 0.138

***

The following is a DFT calculation (PBE) of a relaxed structure of Ho3Er8Sc3.

Properties
The formation enthalpy at 0 K comes out at 0.179 eV/atom. Its polymorph energy (0 for the lowest one) is 32 meV per atom. The calculation puts the total moment at 0.00 μB/cell. The space group is No. 71. The density of states at the Fermi level comes out at 22.519 states/eV per cell. As for the total DFT energy (no corrections): -4.766 eV/atom.

Unit cell a=5.296 b=9.320 c=9.320 alpha=91.87 beta=73.49 gamma=73.49
Atoms (fractional coordinates):
Sc: 0.000 0.165 0.835
Ho: 0.500 0.500 0.500
Er: 0.641 0.107 0.611
Sc: 0.000 0.835 0.165
Er: 0.359 0.893 0.389
Er: 0.862 0.751 0.525
Er: 0.138 0.249 0.475
Ho: 0.792 0.208 0.208
Sc: 0.500 0.000 0.000
Er: 0.641 0.611 0.107
Er: 0.138 0.475 0.249
Er: 0.862 0.525 0.751
Ho: 0.208 0.792 0.792
Er: 0.359 0.389 0.893